Entry from Alexandria via LeMat-Bulk: a relaxed BaOs2Au crystal (PBE-GGA).

Cell and atoms, written as POSCAR:
```
BaOs2Au
1.0
5.0863 -0.0025 -0.0087
-2.4832 5.5161 -0.0033
0.1198 0.8068 2.8643
Ba Au Os
1 1 2
direct
0.5000 0.5000 0.0000
0.0000 0.5000 0.5000
0.5000 0.0000 0.5000
0.0000 0.0000 0.0000
```

As for the formation energy: 1184 meV/atom. The calculation puts the total moment at 0.00 μB/cell. Its space-group type is No. 12.